1.
# Ag3TeCl, optimized geometry, DFT PBE
data_Ag3TeCl
_chemical_formula_sum 'Ag12 Te4 Cl4'
_space_group_name_H-M_alt 'P 1 21/c 1'
_space_group_IT_number 14
_space_group_name_Hall '-P 2ybc'
_cell_length_a 9.0673
_cell_length_b 6.3585
_cell_length_c 9.1772
_cell_angle_alpha 90.00
_cell_angle_beta 94.07
_cell_angle_gamma 90.00
loop_
_atom_site_label
_atom_site_type_symbol
_atom_site_fract_x
_atom_site_fract_y
_atom_site_fract_z
_atom_site_occupancy
Ag1 Ag 0.0078 0.0893 0.3535 1
Ag2 Ag 0.1614 0.6895 0.4289 1
Ag3 Ag 0.3262 0.5297 0.1780 1
Te1 Te 0.1511 0.1931 0.1036 1
Cl1 Cl 0.4201 0.7023 0.8661 1
# Polymorph energy (0 for the lowest one) = 0.005 eV per atom

2.
# AgTeCl4, optimized geometry, DFT PBE
data_AgTeCl4
_chemical_formula_sum 'Ag4 Te4 Cl16'
_space_group_name_H-M_alt 'F -4 3 m'
_space_group_IT_number 216
_space_group_name_Hall 'F -4 2 3'
_cell_length_a 8.3116
_cell_length_b 8.3116
_cell_length_c 8.3116
_cell_angle_alpha 90.00
_cell_angle_beta 90.00
_cell_angle_gamma 90.00
loop_
_atom_site_label
_atom_site_type_symbol
_atom_site_fract_x
_atom_site_fract_y
_atom_site_fract_z
_atom_site_occupancy
Ag1 Ag 0.0000 0.0000 0.0000 1
Te1 Te 0.2500 0.2500 0.2500 1
Cl1 Cl 0.1252 0.1252 0.6252 1
# Polymorph energy (0 for the lowest one) = 1.092 eV per atom

3.
# Ag3TeCl, optimized geometry, DFT PBE
data_Ag3TeCl
_chemical_formula_sum 'Ag3 Te1 Cl1'
_space_group_name_H-M_alt 'P m -3 m'
_space_group_IT_number 221
_space_group_name_Hall '-P 4 2 3'
_cell_length_a 5.0376
_cell_length_b 5.0376
_cell_length_c 5.0376
_cell_angle_alpha 90.00
_cell_angle_beta 90.00
_cell_angle_gamma 90.00
loop_
_atom_site_label
_atom_site_type_symbol
_atom_site_fract_x
_atom_site_fract_y
_atom_site_fract_z
_atom_site_occupancy
Ag1 Ag 0.0000 0.0000 0.5000 1
Te1 Te 0.5000 0.5000 0.5000 1
Cl1 Cl 0.0000 0.0000 0.0000 1
# Polymorph energy (0 for the lowest one) = 0.445 eV per atom

4.
# Ag3TeCl2, optimized geometry, DFT PBE
data_Ag3TeCl2
_chemical_formula_sum 'Ag12 Te4 Cl8'
_space_group_name_H-M_alt 'P n m a'
_space_group_IT_number 62
_space_group_name_Hall '-P 2ac 2n'
_cell_length_a 6.6742
_cell_length_b 12.2548
_cell_length_c 7.6423
_cell_angle_alpha 90.00
_cell_angle_beta 90.00
_cell_angle_gamma 90.00
loop_
_atom_site_label
_atom_site_type_symbol
_atom_site_fract_x
_atom_site_fract_y
_atom_site_fract_z
_atom_site_occupancy
Ag1 Ag 0.0043 0.0671 0.2469 1
Ag2 Ag 0.2492 0.2500 0.6592 1
Te1 Te 0.2469 0.7500 0.8063 1
Cl1 Cl 0.2474 0.0823 0.8693 1
# Polymorph energy (0 for the lowest one) = 0.000 eV per atom

5.
First-principles (PBE) data for crystalline Ag5Te3Cl12 at its relaxed geometry, as listed in Alexandria via LeMat-Bulk.

Geometry as CIF:
```
data_Ag5Te3Cl12
_chemical_formula_sum 'Ag40 Te24 Cl96'
_space_group_name_H-M_alt 'I a -3 d'
_space_group_IT_number 230
_space_group_name_Hall '-I 4bd 2c 3'
_cell_length_a 16.7472
_cell_length_b 16.7472
_cell_length_c 16.7472
_cell_angle_alpha 90.00
_cell_angle_beta 90.00
_cell_angle_gamma 90.00
loop_
_atom_site_label
_atom_site_type_symbol
_atom_site_fract_x
_atom_site_fract_y
_atom_site_fract_z
_atom_site_occupancy
Ag1 Ag 0.0000 0.0000 0.0000 1
Ag2 Ag 0.0000 0.2500 0.3750 1
Te1 Te 0.0000 0.2500 0.1250 1
Cl1 Cl 0.0020 0.0431 0.6623 1
```

6.
# AgTeCl5, optimized geometry, DFT PBE
data_AgTeCl5
_chemical_formula_sum 'Ag4 Te4 Cl20'
_space_group_name_H-M_alt 'C 1 c 1'
_space_group_IT_number 9
_space_group_name_Hall 'C -2yc'
_cell_length_a 11.4377
_cell_length_b 9.3613
_cell_length_c 9.3413
_cell_angle_alpha 90.00
_cell_angle_beta 110.78
_cell_angle_gamma 90.00
loop_
_atom_site_label
_atom_site_type_symbol
_atom_site_fract_x
_atom_site_fract_y
_atom_site_fract_z
_atom_site_occupancy
Ag1 Ag 0.0000 0.1045 0.0000 1
Te1 Te 0.2442 0.2536 0.7496 1
Cl1 Cl 0.0788 0.3160 0.8657 1
Cl2 Cl 0.1768 0.0103 0.2319 1
Cl3 Cl 0.3123 0.4853 0.2753 1
Cl4 Cl 0.3849 0.2067 0.9960 1
Cl5 Cl 0.4097 0.1922 0.6403 1
# Polymorph energy (0 for the lowest one) = 0.000 eV per atom

7.
First-principles (PBE) data for crystalline AgTe3Cl at its relaxed geometry, as listed in Alexandria via LeMat-Bulk.

Geometry as CIF:
```
data_AgTe3Cl
_chemical_formula_sum 'Ag1 Te3 Cl1'
_space_group_name_H-M_alt 'P m -3 m'
_space_group_IT_number 221
_space_group_name_Hall '-P 4 2 3'
_cell_length_a 5.4153
_cell_length_b 5.4153
_cell_length_c 5.4153
_cell_angle_alpha 90.00
_cell_angle_beta 90.00
_cell_angle_gamma 90.00
loop_
_atom_site_label
_atom_site_type_symbol
_atom_site_fract_x
_atom_site_fract_y
_atom_site_fract_z
_atom_site_occupancy
Ag1 Ag 0.0000 0.0000 0.0000 1
Te1 Te 0.0000 0.5000 0.5000 1
Cl1 Cl 0.5000 0.5000 0.5000 1
```

8.
First-principles (PBE) data for crystalline Ag6Te3Cl2 at its relaxed geometry, as listed in Alexandria via LeMat-Bulk.

Geometry as CIF:
```
data_Ag6Te3Cl2
_chemical_formula_sum 'Ag12 Te6 Cl4'
_space_group_name_H-M_alt 'C 1 2/m 1'
_space_group_IT_number 12
_space_group_name_Hall '-C 2y'
_cell_length_a 12.2456
_cell_length_b 7.2389
_cell_length_c 7.4572
_cell_angle_alpha 90.00
_cell_angle_beta 106.73
_cell_angle_gamma 90.00
loop_
_atom_site_label
_atom_site_type_symbol
_atom_site_fract_x
_atom_site_fract_y
_atom_site_fract_z
_atom_site_occupancy
Ag1 Ag 0.0714 0.0000 0.1863 1
Ag2 Ag 0.1513 0.2857 0.7053 1
Te1 Te 0.0000 0.0000 0.5000 1
Te2 Te 0.2126 0.0000 0.9674 1
Cl1 Cl 0.1372 0.5000 0.4295 1
```

Per-record density of states at the Fermi level, states/eV/f.u.: 0.2, 6.8, 0.3, 0.3, 6.1, 0.0, 3.6, 2.2
Per-record raw total energy, eV per formula unit: -14.502, -9.509, -12.306, -17.072, -51.736, -18.926, -10.300, -31.512
Per-record energy relative to the elements, uncorrected, kcal/mol of atoms: -4.4, 14.9, 5.7, -6.5, -6.8, -12.2, 17.6, -2.7